## Tc4AgW (PBE)

Data for a relaxed structure of Tc4AgW.

Properties
* theoretical density: 11.97 g cm⁻³
* final energy: -54.87 eV per cell
* energy of formation from the pure elements: 0.399 eV/atom
* size of the total moment: 0.00 μB/f.u.

Cell: 5.1183 5.1183 5.1183 Å, 60.00 60.00 60.00°
Fractional positions:
Tc (0.6258, 0.6258, 0.6258)
Tc (0.6258, 0.6258, 0.1225)
Tc (0.1225, 0.6258, 0.6258)
Tc (0.6258, 0.1225, 0.6258)
Ag (0.0000, 0.0000, 0.0000)
W (0.2500, 0.2500, 0.2500)